Entry from Alexandria: crystalline LiCaRe2Ru at its relaxed geometry (PBE).

Cell and atoms, written as CIF:
```
data_LiCaRe2Ru
_chemical_formula_sum 'Li1 Ca1 Re2 Ru1'
_symmetry_space_group_name_H-M 'P 1'
_symmetry_Int_Tables_number 1
_cell_length_a 4.720
_cell_length_b 4.720
_cell_length_c 4.655
_cell_angle_alpha 90.00
_cell_angle_beta 90.00
_cell_angle_gamma 90.00
loop_
_symmetry_equiv_pos_as_xyz
'x,y,z'
loop_
_atom_site_label
_atom_site_fract_x
_atom_site_fract_y
_atom_site_fract_z
Li1 0.000 0.000 0.000
Ca1 0.500 0.500 0.500
Re1 0.000 0.500 0.500
Re2 0.500 0.000 0.500
Ru1 0.500 0.500 0.000
```

Values from the calculation:
Final energy = -4.7522 eV/atom
Energy of formation = 2865.3 meV per atom
N(E_F) = 1.311 states/eV/atom
Spin magnetization = 1.97 μB per cell


Entry from Alexandria: crystalline Nd2BiCl at its relaxed geometry (PBE).

Cell and atoms, written as CIF:
```
data_Nd2BiCl
_chemical_formula_sum 'Nd2 Bi1 Cl1'
_symmetry_space_group_name_H-M 'P 1'
_symmetry_Int_Tables_number 1
_cell_length_a 5.421
_cell_length_b 5.421
_cell_length_c 5.421
_cell_angle_alpha 60.00
_cell_angle_beta 60.00
_cell_angle_gamma 60.00
loop_
_symmetry_equiv_pos_as_xyz
'x,y,z'
loop_
_atom_site_label
_atom_site_fract_x
_atom_site_fract_y
_atom_site_fract_z
Nd1 0.250 0.250 0.250
Nd2 0.750 0.750 0.750
Bi1 0.000 0.000 0.000
Cl1 0.500 0.500 0.500
```

Values from the calculation:
Final energy = -4.8802 eV/atom
N(E_F) = 0.770 states/eV/atom
Spin magnetization = 0.09 μB per cell
Formation energy without anion corrections = -4.258 eV per formula unit